(1)
VASP calculation (PBE) on a relaxed BMoH3 crystal.

Output
- Total magnetic moment: 0.000 μB/atom
- Space group: Pm-3m
- Excess energy over the best structure of this formula in the dataset: 355.2 meV per atom

Unit cell a=3.3792 b=3.3792 c=3.3792 alpha=90.00 beta=90.00 gamma=90.00
Last column: nearest neighbours and their distance in Å.
Positions (direct):
B (0.0000, 0.0000, 0.0000)  12 H 2.39
Mo (0.5000, 0.5000, 0.5000)  6 H 1.69
H (0.0000, 0.5000, 0.5000)  2 Mo 1.69
H (0.5000, 0.0000, 0.5000)  2 Mo 1.69
H (0.5000, 0.5000, 0.0000)  2 Mo 1.69

=====

(2)
VASP calculation (PBE) on a relaxed HoEr3Th7 crystal.

Output
- Total magnetic moment: 0.000 μB/atom
- Space group: C2/m
- ΔH_f (0 K): 0.36 eV per atom

Unit cell a=8.4320 b=8.4320 c=5.8742 alpha=109.89 beta=109.89 gamma=82.84
Last column: nearest neighbours and their distance in Å.
Positions (direct):
Ho (0.0000, 0.0000, 0.0000)  4 Th 2.94-3.24
Er (0.2964, 0.7036, 0.5000)  7 Th 3.30-3.66
Er (0.5000, 0.5000, 0.0000)  4 Th 3.19
Er (0.7036, 0.2964, 0.5000)  7 Th 3.30-3.66
Th (0.0000, 0.0000, 0.5000)  2 Ho 2.94
Th (0.0975, 0.5080, 0.8031)  2 Er 3.19-3.56, 3 Th 3.31-3.44
Th (0.2878, 0.2878, 0.2972)  1 Ho 3.24, 2 Er 3.30, 2 Th 3.44
Th (0.4920, 0.9025, 0.1969)  2 Er 3.19-3.56, 3 Th 3.31-3.44
Th (0.5080, 0.0975, 0.8031)  2 Er 3.19-3.56, 3 Th 3.31-3.44
Th (0.7123, 0.7123, 0.7028)  1 Ho 3.24, 2 Er 3.30, 2 Th 3.44
Th (0.9025, 0.4920, 0.1969)  2 Er 3.19-3.56, 3 Th 3.31-3.44

=====

(3)
VASP calculation (PBE) on a relaxed MnRe2Mo crystal.

Output
- Total magnetic moment: 0.444 μB/atom
- Space group: Cmm2
- Excess energy over the best structure of this formula in the dataset: 65.1 meV per atom
- ΔH_f (0 K): 0.15 eV per atom

Unit cell a=2.6767 b=2.6767 c=8.5767 alpha=90.00 beta=90.00 gamma=108.75
Last column: nearest neighbours and their distance in Å.
Positions (direct):
Mn (0.0000, 0.0000, 0.0000)  2 Re 2.54, 2 Mo 2.59, 4 Mn 2.68
Re (0.0000, 0.0000, 0.4960)  6 Re 2.68-2.73, 2 Mo 2.74
Re (0.5000, 0.5000, 0.2344)  2 Mn 2.54, 6 Re 2.68-2.73
Mo (0.5000, 0.5000, 0.7584)  2 Mn 2.59, 4 Mo 2.68, 2 Re 2.74

=====

(4)
VASP calculation (PBE) on a relaxed Ba2SrCu crystal.

Output
- Total magnetic moment: 0.000 μB/atom
- Space group: Cmmm
- Excess energy over the best structure of this formula in the dataset: 261.6 meV per atom
- ΔH_f (0 K): 0.27 eV per atom

Unit cell a=6.0904 b=6.0904 c=4.7774 alpha=90.00 beta=90.00 gamma=90.31
Last column: nearest neighbours and their distance in Å.
Positions (direct):
Ba (0.0000, 0.5000, 0.0000)  4 Cu 3.87, 4 Sr 3.87, 4 Ba 4.30-4.32
Ba (0.5000, 0.0000, 0.0000)  4 Cu 3.87, 4 Sr 3.87, 4 Ba 4.30-4.32
Sr (0.0000, 0.0000, 0.5000)  8 Ba 3.87, 4 Cu 4.30-4.32
Cu (0.5000, 0.5000, 0.5000)  8 Ba 3.87, 4 Sr 4.30-4.32

=====

Which value of total magnetic moment does entry 4 give?
0.000 μB/atom

=====

What is the total magnetic moment in the first record?
0.000 μB/atom

=====

Look up the total magnetic moment of the fourth one.
0.000 μB/atom